DFT (PBE-GGA) results for a geometry-optimized Tb6SnSe12 structure.

a b c (Å): 8.2102 8.2102 8.2102
angles (deg): 98.62 98.62 98.62
Sites, in units of the cell vectors:
Tb1 0.1375 0.8276 0.6417
Tb2 0.1724 0.3583 0.8625
Tb3 0.3583 0.8625 0.1724
Tb4 0.6417 0.1375 0.8276
Tb5 0.8276 0.6417 0.1375
Tb6 0.8625 0.1724 0.3583
Sn1 0.5000 0.5000 0.5000
Se1 0.0755 0.9223 0.3211
Se2 0.0777 0.6789 0.9245
Se3 0.1607 0.4594 0.5246
Se4 0.3211 0.0755 0.9223
Se5 0.4594 0.5246 0.1607
Se6 0.4754 0.8393 0.5406
Se7 0.5246 0.1607 0.4594
Se8 0.5406 0.4754 0.8393
Se9 0.6789 0.9245 0.0777
Se10 0.8393 0.5406 0.4754
Se11 0.9223 0.3211 0.0755
Se12 0.9245 0.0777 0.6789

formation energy without anion corrections	-27.67	eV/f.u.
uncorrected energy	-5.330	eV/atom
DOS at the Fermi energy	9.3	states/eV/f.u.
V	532.5	Å³ per cell